Below is a relaxed structure of BaIrO3, with properties calculated at the PBE level.

Cell: 4.0372 4.0372 4.8639 Å, 90.00 90.00 90.00°
With the nearest neighbours (Å) after each atom.
Atoms (fractional coordinates):
O  0.5000  0.5000  0.4727  4 O 2.02
O  0.0000  0.5000  0.4659  2 O 2.02, 2 Ir 2.04
Ba  0.5000  0.5000  0.9757  2 O 2.42-2.45
O  0.5000  0.0000  0.4659  2 O 2.02, 2 Ir 2.04
Ir  0.0000  0.0000  0.5199  4 O 2.04

Summary:
Its total magnetization is 0.06 μB/atom. The space group is No. 99. Its uncorrected energy is -27.757 eV per cell.

Below is a relaxed structure of CsLiPd, with properties calculated at the PBE level.

Cell: 5.2466 5.2466 5.2466 Å, 60.00 60.00 60.00°
With the nearest neighbours (Å) after each atom.
Atoms (fractional coordinates):
Cs  0.2500  0.2500  0.2500  4 Pd 3.21
Pd  0.0000  0.0000  0.0000  4 Li 3.21, 4 Cs 3.21
Li  0.7500  0.7500  0.7500  4 Pd 3.21

Summary:
Its relative energy among the computed polymorphs is 0.0 kJ/mol of atoms. The space group is No. 216.

- Which formula does entry 2 have?
  CsLiPd